Entry 1:
Mn2TcMo | GGA-PBE | optimized geometry

Cell and atoms, written as POSCAR:
```
Mn2TcMo
1.0
6.006 0.000 0.000
0.000 6.006 0.000
0.000 0.000 6.006
Mn Tc Mo
8 4 4
direct
0.000 0.000 0.000
0.000 0.500 0.500
0.250 0.250 0.250
0.250 0.750 0.750
0.500 0.000 0.500
0.500 0.500 0.000
0.750 0.250 0.750
0.750 0.750 0.250
0.000 0.000 0.500
0.000 0.500 0.000
0.500 0.000 0.000
0.500 0.500 0.500
0.250 0.250 0.750
0.250 0.750 0.250
0.750 0.250 0.250
0.750 0.750 0.750
```

Properties
space-group type	F-43m, No. 216
energy of formation from the pure elements	0.11	eV per atom
Fermi-level density of states	18.3	states/eV per cell
raw total energy	-9.779	eV per atom

Entry 2:
Mn3TcMo | GGA-PBE | optimized geometry

Cell and atoms, written as POSCAR:
```
Mn3TcMo
1.0
4.308 0.000 0.000
0.000 4.308 0.000
0.000 0.000 4.308
Mn Tc Mo
3 1 1
direct
0.000 0.000 0.500
0.000 0.500 0.000
0.500 0.000 0.000
0.000 0.000 0.000
0.500 0.500 0.500
```

Properties
space-group type	Pm-3m, No. 221
energy of formation from the pure elements	1.68	eV per atom
Fermi-level density of states	10.7	states/eV per cell
raw total energy	-8.059	eV per atom

Entry 3:
Mn2TcMo | GGA-PBE | optimized geometry

Cell and atoms, written as POSCAR:
```
Mn2TcMo
1.0
8.904 0.000 0.000
0.000 2.691 0.000
-0.893 0.000 4.493
Mn Tc Mo
4 2 2
direct
0.000 0.000 0.000
0.231 0.500 0.245
0.500 0.500 0.000
0.731 0.000 0.245
0.256 0.000 0.774
0.756 0.500 0.774
0.486 0.000 0.487
0.986 0.500 0.487
```

Properties
space-group type	Cm, No. 8
energy of formation from the pure elements	0.15	eV per atom
Fermi-level density of states	9.9	states/eV per cell
raw total energy	-9.731	eV per atom

Entry 4:
MnTc2Mo | GGA-PBE | optimized geometry

Cell and atoms, written as POSCAR:
```
MnTc2Mo
1.0
4.331 0.000 0.000
0.000 4.332 0.000
0.000 0.000 6.170
Mn Tc Mo
2 4 2
direct
0.000 0.000 0.000
0.000 0.500 0.242
0.000 0.500 0.746
0.500 0.000 0.240
0.500 0.000 0.750
0.500 0.500 0.481
0.000 0.000 0.490
0.500 0.500 0.992
```

Properties
space-group type	Pmm2, No. 25
energy of formation from the pure elements	0.10	eV per atom
Fermi-level density of states	8.1	states/eV per cell
raw total energy	-10.081	eV per atom